Density functional theory data (GGA-PBEsol) for crystalline BaZn3 at its relaxed geometry.

Properties
ΔH_f (0 K): -1.2 kJ per mole of atoms
energy: -1.736 eV/atom
spin magnetization: 0.00 μB per cell

abc: 3.843 4.312 6.025
angles: 90.00 102.49 90.00
Space group P2/m (No. 10)
Symmetry-distinct sites (fractional):
Ba  0.000  0.000  0.000 [1 per cell]
Zn  0.301  0.500  0.646 [2 per cell]
Zn  0.500  0.000  0.500 [1 per cell]

Density functional theory data (GGA-PBEsol) for crystalline Ba3Zn at its relaxed geometry.

Properties
ΔH_f (0 K): -3.5 kJ per mole of atoms
energy: -2.044 eV/atom
spin magnetization: 0.01 μB per cell

abc: 8.404 11.297 7.577
angles: 90.00 90.00 90.00
Space group Pnma (No. 62)
Symmetry-distinct sites (fractional):
Ba  0.027  0.250  0.133 [4 per cell]
Ba  0.179  0.065  0.673 [8 per cell]
Zn  0.112  0.750  0.448 [4 per cell]